Crystalline ErReB4 at its relaxed geometry. Source: OQMD, functional PBE.

Calculated values
Raw total energy (eV/cell): -189.18

Structure (CIF):
```
data_ErReB4
_cell_length_a 5.940
_cell_length_b 11.492
_cell_length_c 3.594
_cell_angle_alpha 90.00
_cell_angle_beta 90.00
_cell_angle_gamma 90.00
_symmetry_space_group_name_H-M 'P b a m'
_symmetry_Int_Tables_number 55
loop_
_symmetry_equiv_pos_as_xyz
'x,y,z'
'-x,-y,-z'
'-x,-y,z'
'x,y,-z'
'x+1/2,-y+1/2,-z'
'-x+1/2,y+1/2,z'
'-x+1/2,y+1/2,-z'
'x+1/2,-y+1/2,z'
loop_
_atom_site_label
_atom_site_fract_x
_atom_site_fract_y
_atom_site_fract_z
Er1 0.126 0.150 0.000
Re1 0.134 0.412 0.000
B1 0.023 0.693 0.500
B2 0.115 0.548 0.500
B3 0.135 0.969 0.500
B4 0.212 0.815 0.500
```